A plane-wave DFT calculation with GGA-PBE was carried out for a relaxed structure of NaCd9Ag3.

M_tot in μB/atom: 0.0000
Final energy in eV for the cell shown: -37.65
DOS(E_F) in states/eV/f.u.: 4.67
Energy of formation in eV/atom: -0.055

Unit cell a=5.6388 b=14.1923 c=7.6600 alpha=90.00 beta=110.47 gamma=90.00
Space group C2/m (No. 12)
Unique sites:
Na 0.0000 0.0000 0.0000 (multiplicity 2)
Cd 0.0000 0.5000 0.5000 (multiplicity 2)
Cd 0.1084 0.3925 0.2107 (multiplicity 8)
Cd 0.1618 0.1765 0.3435 (multiplicity 8)
Ag 0.0000 0.0000 0.5000 (multiplicity 2)
Ag 0.2500 0.2500 0.0000 (multiplicity 4)